Model w:
A relaxed Si5Ag3 crystal. Source: the Alexandria database, functional PBE-GGA.

Cell and atoms, written as CIF:
```
data_Si5Ag3
_cell_length_a 7.7504
_cell_length_b 8.0508
_cell_length_c 4.2713
_cell_angle_alpha 90.00
_cell_angle_beta 90.00
_cell_angle_gamma 90.00
_space_group_name_H-M_alt 'C m m m'
_space_group_IT_number 65
_space_group_name_Hall '-C 2 2'
loop_
_atom_site_label
_atom_site_fract_x
_atom_site_fract_y
_atom_site_fract_z
Si1 0.0000 0.0000 0.0000
Si2 0.2202 0.0000 0.5000
Si3 0.2500 0.2500 0.0000
Ag1 0.0000 0.2680 0.5000
Ag2 0.0000 0.5000 0.0000
```

Results
- V (Å³ per atom) = 16.657
- mass density (g/cm³) = 5.782
- density of states at the Fermi level (states/eV/f.u.) = 2.06



Model x:
A relaxed Si5Ag3 crystal. Source: the Alexandria database, functional PBE-GGA.

Cell and atoms, written as CIF:
```
data_Si5Ag3
_cell_length_a 8.1268
_cell_length_b 8.1268
_cell_length_c 4.9188
_cell_angle_alpha 90.00
_cell_angle_beta 90.00
_cell_angle_gamma 120.00
_space_group_name_H-M_alt 'P 63/m c m'
_space_group_IT_number 193
_space_group_name_Hall '-P 6c 2'
loop_
_atom_site_label
_atom_site_fract_x
_atom_site_fract_y
_atom_site_fract_z
Si1 0.0000 0.1790 0.2500
Si2 0.3333 0.6667 0.0000
Ag1 0.0000 0.4074 0.7500
```

Results
- V (Å³ per atom) = 17.584
- mass density (g/cm³) = 5.478
- density of states at the Fermi level (states/eV/f.u.) = 2.09



Most stable structure: model w